Entry 1:
The following is a PBE calculation of Ni2OsRh6 after structural relaxation, from Alexandria via LeMat-Bulk.

Crystal system = trigonal
Energy relative to the lowest polymorph listed for this composition = 286 meV/atom
Calculated volume = 16.28 A^3/atom
Total energy = -0.5078 Ry/atom
Calculated formation energy = 0.525 eV per atom

Cell and atoms, written as CIF:
```
data_Ni2OsRh6
_chemical_formula_sum 'Ni6 Os3 Rh18'
_cell_length_a 5.3277
_cell_length_b 5.3277
_cell_length_c 17.8871
_cell_angle_alpha 90.00
_cell_angle_beta 90.00
_cell_angle_gamma 120.00
_symmetry_space_group_name_H-M 'R 3 m'
_symmetry_Int_Tables_number 160
_symmetry_space_group_name_Hall 'R 3 -2"'
loop_
_atom_site_label
_atom_site_fract_x
_atom_site_fract_y
_atom_site_fract_z
Ni1 0.0000 0.0000 0.0000
Ni2 0.0000 0.0000 0.2131
Os1 0.0000 0.0000 0.7779
Rh1 0.0125 0.5063 0.2141
Rh2 0.0143 0.5072 0.0076
```

***

Entry 2:
The following is a PBE calculation of NiOs2Rh after structural relaxation, from Alexandria via LeMat-Bulk.

Crystal system = tetragonal
Calculated volume = 13.56 A^3/atom
Total energy = -0.6461 Ry/atom
Calculated formation energy = 0.107 eV per atom

Cell and atoms, written as CIF:
```
data_NiOs2Rh
_chemical_formula_sum 'Ni1 Os2 Rh1'
_cell_length_a 2.710
_cell_length_b 2.710
_cell_length_c 7.385
_cell_angle_alpha 90.00
_cell_angle_beta 90.00
_cell_angle_gamma 90.00
_symmetry_space_group_name_H-M 'P 4 m m'
_symmetry_Int_Tables_number 99
_symmetry_space_group_name_Hall 'P 4 -2'
loop_
_atom_site_label
_atom_site_fract_x
_atom_site_fract_y
_atom_site_fract_z
Ni1 0.000 0.000 0.000
Os1 0.000 0.000 0.494
Os2 0.500 0.500 0.238
Rh1 0.500 0.500 0.753
```

***

Entry 3:
The following is a PBE calculation of NiOs2Rh4 after structural relaxation, from Alexandria via LeMat-Bulk.

Crystal system = orthorhombic
Calculated volume = 14.94 A^3/atom
Total energy = -0.5762 Ry/atom
Calculated formation energy = 0.395 eV per atom

Cell and atoms, written as CIF:
```
data_NiOs2Rh4
_chemical_formula_sum 'Ni2 Os4 Rh8'
_cell_length_a 4.626
_cell_length_b 10.532
_cell_length_c 4.294
_cell_angle_alpha 90.00
_cell_angle_beta 90.00
_cell_angle_gamma 90.00
_symmetry_space_group_name_H-M 'P b a m'
_symmetry_Int_Tables_number 55
_symmetry_space_group_name_Hall '-P 2 2ab'
loop_
_atom_site_label
_atom_site_fract_x
_atom_site_fract_y
_atom_site_fract_z
Ni1 0.000 0.000 0.000
Os1 0.235 0.180 0.500
Rh1 0.058 0.317 0.000
Rh2 0.244 0.438 0.500
```

***

Entry 4:
The following is a PBE calculation of NiOs2Rh after structural relaxation, from Alexandria via LeMat-Bulk.

Crystal system = monoclinic
Calculated volume = 13.69 A^3/atom
Total energy = -0.6331 Ry/atom
Calculated formation energy = 0.284 eV per atom

Cell and atoms, written as CIF:
```
data_NiOs2Rh
_chemical_formula_sum 'Ni1 Os2 Rh1'
_cell_length_a 2.674
_cell_length_b 4.068
_cell_length_c 5.125
_cell_angle_alpha 90.00
_cell_angle_beta 100.67
_cell_angle_gamma 90.00
_symmetry_space_group_name_H-M 'P 1 2/m 1'
_symmetry_Int_Tables_number 10
_symmetry_space_group_name_Hall '-P 2y'
loop_
_atom_site_label
_atom_site_fract_x
_atom_site_fract_y
_atom_site_fract_z
Ni1 0.000 0.000 0.000
Os1 0.379 0.500 0.238
Rh1 0.000 0.000 0.500
```

***

Question: Among the records above, which one has the lowest total energy?
Answer: number 2

***

Question: Look up the calculated volume of the fourth one.
Answer: 13.69 A^3/atom

***

Question: Number 4 is which compound?
Answer: NiOs2Rh